1.
This record from Alexandria via LeMat-Bulk describes a relaxed Ag2TeP crystal. The functional is PBE-GGA.

Computed properties:
Raw total energy = -3.193 eV/atom
Formation energy from raw total energies = 143 kJ/mol of formula units
Calculated density = 7.49 g/cm³

a b c (Å): 5.7067 7.5728 3.8408
angles (deg): 90.00 90.00 90.00
With the nearest neighbours (Å) after each atom.
Space group Cmmm (No. 65)
Symmetry-distinct sites (fractional):
Ag 0.2500 0.2500 0.0000 x4  2 Ag 2.85, 4 Te 3.05, 4 P 3.05
Te 0.0000 0.0000 0.5000 x2  2 P 2.85, 8 Ag 3.05
P 0.0000 0.5000 0.5000 x2  2 Te 2.85, 8 Ag 3.05

2.
This record from Alexandria via LeMat-Bulk describes a relaxed Zn2OsRu crystal. The functional is PBE-GGA.

Computed properties:
Raw total energy = -5.562 eV/atom
Energy of formation = 4.64 kcal/mol of atoms
Calculated density = 12.55 g/cm³

a b c (Å): 2.9578 4.3394 8.7048
angles (deg): 90.00 90.00 90.00
With the nearest neighbours (Å) after each atom.
Space group Imm2 (No. 44)
Symmetry-distinct sites (fractional):
Zn 0.0000 0.0000 0.0000 x2  2 Zn 2.60, 4 Ru 2.63, 2 Os 2.66
Zn 0.0000 0.5000 0.2547 x2  2 Zn 2.60, 4 Os 2.63, 2 Ru 2.66
Os 0.0000 0.5000 0.7542 x2  2 Ru 2.61, 6 Zn 2.63-2.66
Ru 0.0000 0.0000 0.5012 x2  2 Os 2.61, 6 Zn 2.63-2.66